Entry 1:
The following is a PBE-GGA calculation of a relaxed structure of CdBiIrO6, from Alexandria.

Results
Crystal system: trigonal
Final energy, hartree per atom: -0.2084
D(E_F), states/eV per atom: 0.569
Energy relative to the elements, uncorrected, eV/atom: -0.849
Magnetic moment, μB/cell: 2.42

a = 5.5634 Å, b = 5.5634 Å, c = 9.2765 Å
α = 90.00°, β = 90.00°, γ = 120.00°
Atoms (fractional coordinates):
Cd1 0.0000 0.0000 0.0000
Cd2 0.0000 0.0000 0.5000
Bi1 0.3333 0.6667 0.2500
Bi2 0.6667 0.3333 0.7500
Ir1 0.3333 0.6667 0.7500
Ir2 0.6667 0.3333 0.2500
O1 0.0380 0.3786 0.6333
O2 0.0380 0.6594 0.8667
O3 0.3406 0.3786 0.8667
O4 0.3406 0.9620 0.6333
O5 0.3786 0.0380 0.1333
O6 0.3786 0.3406 0.3667
O7 0.6214 0.6594 0.6333
O8 0.6214 0.9620 0.8667
O9 0.6594 0.0380 0.3667
O10 0.6594 0.6214 0.1333
O11 0.9620 0.3406 0.1333
O12 0.9620 0.6214 0.3667

Entry 2:
The following is a PBE-GGA calculation of a relaxed structure of Ac4PrRh4, from Alexandria.

Results
Crystal system: tetragonal
Final energy, hartree per atom: -0.2287
D(E_F), states/eV per atom: 0.491
Formation energy from the elements, eV/atom: -0.60
Magnetic moment, μB/cell: 0.00

a = 7.3380 Å, b = 7.3380 Å, c = 7.3380 Å
α = 99.68°, β = 99.68°, γ = 131.59°
Atoms (fractional coordinates):
Ac1 0.0995 0.3048 0.4043
Ac2 0.3048 0.9005 0.2053
Ac3 0.6952 0.0995 0.7947
Ac4 0.9005 0.6952 0.5957
Pr1 0.5000 0.5000 0.0000
Rh1 0.2106 0.6015 0.8122
Rh2 0.3985 0.2106 0.6091
Rh3 0.6015 0.7894 0.3909
Rh4 0.7894 0.3985 0.1878

Entry 3:
The following is a PBE-GGA calculation of a relaxed structure of ScTcS2Cl, from Alexandria.

Results
Crystal system: tetragonal
Final energy, hartree per atom: -0.2039
D(E_F), states/eV per atom: 0.161
Energy relative to the elements, uncorrected, eV/atom: -0.188
E above lowest polymorph, meV per atom: 37
Magnetic moment, μB/cell: 5.00

a = 4.9752 Å, b = 4.9752 Å, c = 4.7838 Å
α = 90.00°, β = 90.00°, γ = 90.00°
Atoms (fractional coordinates):
Sc1 0.0000 0.0000 0.0000
Tc1 0.5000 0.5000 0.5000
S1 0.0000 0.5000 0.0000
S2 0.5000 0.0000 0.0000
Cl1 0.0000 0.0000 0.5000

Entry 4:
The following is a PBE-GGA calculation of a relaxed structure of BaSiAsBr2, from Alexandria.

Results
Crystal system: tetragonal
Final energy, hartree per atom: -0.1057
D(E_F), states/eV per atom: 1.150
Energy relative to the elements, uncorrected, eV/atom: 0.191
E above lowest polymorph, meV per atom: 871
Magnetic moment, μB/cell: 1.00

a = 6.1463 Å, b = 6.1463 Å, c = 6.7048 Å
α = 90.00°, β = 90.00°, γ = 90.00°
Atoms (fractional coordinates):
Ba1 0.0000 0.0000 0.0000
Si1 0.5000 0.5000 0.5000
As1 0.0000 0.0000 0.5000
Br1 0.0000 0.5000 0.0000
Br2 0.5000 0.0000 0.0000

Entry 5:
The following is a PBE-GGA calculation of a relaxed structure of Pr2NdY3S6, from Alexandria.

Results
Crystal system: monoclinic
Final energy, hartree per atom: -0.2532
D(E_F), states/eV per atom: 0.424
Energy relative to the elements, uncorrected, eV/atom: -2.015
Magnetic moment, μB/cell: 0.00

a = 8.9886 Å, b = 8.9886 Å, c = 8.1009 Å
α = 104.15°, β = 104.15°, γ = 25.51°
Atoms (fractional coordinates):
Pr1 0.1667 0.1667 0.3335
Pr2 0.8333 0.8333 0.6665
Nd1 0.5000 0.5000 0.0000
Y1 0.1670 0.1670 0.8334
Y2 0.5000 0.5000 0.5000
Y3 0.8330 0.8330 0.1666
S1 0.0040 0.0040 0.7420
S2 0.3303 0.3303 0.9273
S3 0.3373 0.3373 0.4065
S4 0.6627 0.6627 0.5935
S5 0.6697 0.6697 0.0727
S6 0.9960 0.9960 0.2580

Entry 6:
The following is a PBE-GGA calculation of a relaxed structure of B2C3, from Alexandria.

Results
Crystal system: monoclinic
Final energy, hartree per atom: -0.2905
D(E_F), states/eV per atom: 0.162
Formation energy from the elements, eV/atom: 0.30
E above lowest polymorph, meV per atom: 64
Magnetic moment, μB/cell: 0.00

a = 4.3485 Å, b = 4.3485 Å, c = 6.4301 Å
α = 109.30°, β = 109.30°, γ = 34.06°
Atoms (fractional coordinates):
B1 0.0778 0.0778 0.2738
B2 0.1054 0.1054 0.5737
B3 0.8946 0.8946 0.4263
B4 0.9222 0.9222 0.7262
C1 0.2787 0.2787 0.2997
C2 0.2934 0.2934 0.0688
C3 0.4814 0.4814 0.1033
C4 0.5186 0.5186 0.8967
C5 0.7066 0.7066 0.9312
C6 0.7213 0.7213 0.7003

Among the records above, which one has the lowest final energy?
B2C3